Density functional theory data (PBE-GGA) for crystalline In2HgO2 at its relaxed geometry.

Cell and atoms, written as CIF:
```
data_In2HgO2
_symmetry_space_group_name_H-M 'P 4/m b m'
_symmetry_Int_Tables_number 127
_symmetry_space_group_name_Hall '-P 4 2ab'
_cell_length_a 7.447
_cell_length_b 7.447
_cell_length_c 3.132
_cell_angle_alpha 90.00
_cell_angle_beta 90.00
_cell_angle_gamma 90.00
loop_
_atom_site_label
_atom_site_fract_x
_atom_site_fract_y
_atom_site_fract_z
_atom_site_occupancy
In1 0.134 0.366 0.000 1
Hg1 0.000 0.000 0.000 1
O1 0.120 0.620 0.500 1
```

Results
**Polymorph energy (0 for the lowest one)**: 0.561 eV/atom
**Formation energy (no corrections)**: -1.67 eV per formula unit
**M_tot**: 0.00 Bohr magnetons per cell


Density functional theory data (PBE-GGA) for crystalline Zr2Mn2I at its relaxed geometry.

Cell and atoms, written as CIF:
```
data_Zr2Mn2I
_symmetry_space_group_name_H-M 'P 4/m b m'
_symmetry_Int_Tables_number 127
_symmetry_space_group_name_Hall '-P 4 2ab'
_cell_length_a 7.773
_cell_length_b 7.773
_cell_length_c 3.361
_cell_angle_alpha 90.00
_cell_angle_beta 90.00
_cell_angle_gamma 90.00
loop_
_atom_site_label
_atom_site_fract_x
_atom_site_fract_y
_atom_site_fract_z
_atom_site_occupancy
Zr1 0.177 0.323 0.000 1
Mn1 0.090 0.590 0.500 1
I1 0.000 0.000 0.000 1
```

Results
**Polymorph energy (0 for the lowest one)**: 0.220 eV/atom
**Formation energy (no corrections)**: 2.05 eV per formula unit
**M_tot**: 0.00 Bohr magnetons per cell


Density functional theory data (PBE-GGA) for crystalline Tb3MgNi at its relaxed geometry.

Cell and atoms, written as CIF:
```
data_Tb3MgNi
_symmetry_space_group_name_H-M 'P m -3 m'
_symmetry_Int_Tables_number 221
_symmetry_space_group_name_Hall '-P 4 2 3'
_cell_length_a 5.276
_cell_length_b 5.276
_cell_length_c 5.276
_cell_angle_alpha 90.00
_cell_angle_beta 90.00
_cell_angle_gamma 90.00
loop_
_atom_site_label
_atom_site_fract_x
_atom_site_fract_y
_atom_site_fract_z
_atom_site_occupancy
Tb1 0.000 0.000 0.500 1
Mg1 0.500 0.500 0.500 1
Ni1 0.000 0.000 0.000 1
```

Results
**Polymorph energy (0 for the lowest one)**: 0.151 eV/atom
**Energy of formation from the pure elements**: -0.041 eV/atom
**M_tot**: 1.08 Bohr magnetons per cell


Density functional theory data (PBE-GGA) for crystalline TiNb2Os at its relaxed geometry.

Cell and atoms, written as CIF:
```
data_TiNb2Os
_symmetry_space_group_name_H-M 'I 4/m m m'
_symmetry_Int_Tables_number 139
_symmetry_space_group_name_Hall '-I 4 2'
_cell_length_a 4.494
_cell_length_b 4.494
_cell_length_c 13.154
_cell_angle_alpha 90.00
_cell_angle_beta 90.00
_cell_angle_gamma 90.00
loop_
_atom_site_label
_atom_site_fract_x
_atom_site_fract_y
_atom_site_fract_z
_atom_site_occupancy
Ti1 0.000 0.000 0.133 1
Nb1 0.000 0.000 0.371 1
Nb2 0.000 0.500 0.000 1
Os1 0.000 0.500 0.250 1
```

Results
**Polymorph energy (0 for the lowest one)**: 0.017 eV/atom
**Energy of formation from the pure elements**: -0.280 eV/atom
**M_tot**: 0.00 Bohr magnetons per cell


Density functional theory data (PBE-GGA) for crystalline PrTmAs2Rh5 at its relaxed geometry.

Cell and atoms, written as CIF:
```
data_PrTmAs2Rh5
_symmetry_space_group_name_H-M 'P 4/m m m'
_symmetry_Int_Tables_number 123
_symmetry_space_group_name_Hall '-P 4 2'
_cell_length_a 4.279
_cell_length_b 4.279
_cell_length_c 8.816
_cell_angle_alpha 90.00
_cell_angle_beta 90.00
_cell_angle_gamma 90.00
loop_
_atom_site_label
_atom_site_fract_x
_atom_site_fract_y
_atom_site_fract_z
_atom_site_occupancy
Pr1 0.000 0.000 0.000 1
Tm1 0.000 0.000 0.500 1
As1 0.500 0.500 0.356 1
Rh1 0.000 0.500 0.241 1
Rh2 0.500 0.500 0.000 1
```

Results
**Energy of formation from the pure elements**: -0.714 eV/atom
**M_tot**: 0.00 Bohr magnetons per cell


Density functional theory data (PBE-GGA) for crystalline Nd6P2PtS3 at its relaxed geometry.

Cell and atoms, written as CIF:
```
data_Nd6P2PtS3
_symmetry_space_group_name_H-M 'C 1 2/m 1'
_symmetry_Int_Tables_number 12
_symmetry_space_group_name_Hall '-C 2y'
_cell_length_a 18.055
_cell_length_b 4.113
_cell_length_c 8.314
_cell_angle_alpha 90.00
_cell_angle_beta 103.23
_cell_angle_gamma 90.00
loop_
_atom_site_label
_atom_site_fract_x
_atom_site_fract_y
_atom_site_fract_z
_atom_site_occupancy
Nd1 0.002 0.000 0.252 1
Nd2 0.169 0.500 0.090 1
Nd3 0.169 0.500 0.580 1
P1 0.167 0.000 0.334 1
Pt1 0.000 0.500 0.000 1
S1 0.000 0.500 0.500 1
S2 0.168 0.000 0.833 1
```

Results
**Formation energy (no corrections)**: -20.61 eV per formula unit
**M_tot**: 0.00 Bohr magnetons per cell


Density functional theory data (PBE-GGA) for crystalline BaCoAs3 at its relaxed geometry.

Cell and atoms, written as CIF:
```
data_BaCoAs3
_symmetry_space_group_name_H-M 'P m -3 m'
_symmetry_Int_Tables_number 221
_symmetry_space_group_name_Hall '-P 4 2 3'
_cell_length_a 5.665
_cell_length_b 5.665
_cell_length_c 5.665
_cell_angle_alpha 90.00
_cell_angle_beta 90.00
_cell_angle_gamma 90.00
loop_
_atom_site_label
_atom_site_fract_x
_atom_site_fract_y
_atom_site_fract_z
_atom_site_occupancy
Ba1 0.000 0.000 0.000 1
Co1 0.500 0.500 0.500 1
As1 0.000 0.000 0.500 1
```

Results
**Polymorph energy (0 for the lowest one)**: 1.943 eV/atom
**Energy of formation from the pure elements**: 1.752 eV/atom
**M_tot**: 2.75 Bohr magnetons per cell


Density functional theory data (PBE-GGA) for crystalline LiPrSmZn at its relaxed geometry.

Cell and atoms, written as CIF:
```
data_LiPrSmZn
_symmetry_space_group_name_H-M 'P 4 m m'
_symmetry_Int_Tables_number 99
_symmetry_space_group_name_Hall 'P 4 -2'
_cell_length_a 3.746
_cell_length_b 3.746
_cell_length_c 7.478
_cell_angle_alpha 90.00
_cell_angle_beta 90.00
_cell_angle_gamma 90.00
loop_
_atom_site_label
_atom_site_fract_x
_atom_site_fract_y
_atom_site_fract_z
_atom_site_occupancy
Li1 0.000 0.000 0.000 1
Pr1 0.500 0.500 0.727 1
Sm1 0.500 0.500 0.261 1
Zn1 0.000 0.000 0.485 1
```

Results
**Polymorph energy (0 for the lowest one)**: 0.000 eV/atom
**Energy of formation from the pure elements**: -0.119 eV/atom
**M_tot**: 0.00 Bohr magnetons per cell


Density functional theory data (PBE-GGA) for crystalline KSbPdPt2 at its relaxed geometry.

Cell and atoms, written as CIF:
```
data_KSbPdPt2
_symmetry_space_group_name_H-M 'P 4/m m m'
_symmetry_Int_Tables_number 123
_symmetry_space_group_name_Hall '-P 4 2'
_cell_length_a 4.964
_cell_length_b 4.964
_cell_length_c 6.085
_cell_angle_alpha 90.00
_cell_angle_beta 90.00
_cell_angle_gamma 90.00
loop_
_atom_site_label
_atom_site_fract_x
_atom_site_fract_y
_atom_site_fract_z
_atom_site_occupancy
K1 0.000 0.000 0.000 1
Sb1 0.000 0.000 0.500 1
Pd1 0.500 0.500 0.000 1
Pt1 0.000 0.500 0.500 1
```

Results
**Formation energy (no corrections)**: 3.65 eV per formula unit
**M_tot**: 0.00 Bohr magnetons per cell


Density functional theory data (PBE-GGA) for crystalline YTa2Ga2 at its relaxed geometry.

Cell and atoms, written as CIF:
```
data_YTa2Ga2
_symmetry_space_group_name_H-M 'I 4/m m m'
_symmetry_Int_Tables_number 139
_symmetry_space_group_name_Hall '-I 4 2'
_cell_length_a 4.013
_cell_length_b 4.013
_cell_length_c 12.345
_cell_angle_alpha 90.00
_cell_angle_beta 90.00
_cell_angle_gamma 90.00
loop_
_atom_site_label
_atom_site_fract_x
_atom_site_fract_y
_atom_site_fract_z
_atom_site_occupancy
Y1 0.000 0.000 0.000 1
Ta1 0.000 0.500 0.250 1
Ga1 0.000 0.000 0.400 1
```

Results
**Polymorph energy (0 for the lowest one)**: 0.000 eV/atom
**Energy of formation from the pure elements**: -0.322 eV/atom
**M_tot**: 0.00 Bohr magnetons per cell


Density functional theory data (PBE-GGA) for crystalline Tm3Cu at its relaxed geometry.

Cell and atoms, written as CIF:
```
data_Tm3Cu
_symmetry_space_group_name_H-M 'P m m 2'
_symmetry_Int_Tables_number 25
_symmetry_space_group_name_Hall 'P 2 -2'
_cell_length_a 3.435
_cell_length_b 3.545
_cell_length_c 8.964
_cell_angle_alpha 90.00
_cell_angle_beta 90.00
_cell_angle_gamma 90.00
loop_
_atom_site_label
_atom_site_fract_x
_atom_site_fract_y
_atom_site_fract_z
_atom_site_occupancy
Tm1 0.000 0.000 0.000 1
Tm2 0.000 0.500 0.333 1
Tm3 0.500 0.500 0.725 1
Cu1 0.500 0.000 0.477 1
```

Results
**Energy of formation from the pure elements**: 0.091 eV/atom
**M_tot**: 0.00 Bohr magnetons per cell


Density functional theory data (PBE-GGA) for crystalline CaMnBeC2 at its relaxed geometry.

Cell and atoms, written as CIF:
```
data_CaMnBeC2
_symmetry_space_group_name_H-M 'P 4/m m m'
_symmetry_Int_Tables_number 123
_symmetry_space_group_name_Hall '-P 4 2'
_cell_length_a 3.822
_cell_length_b 3.822
_cell_length_c 3.978
_cell_angle_alpha 90.00
_cell_angle_beta 90.00
_cell_angle_gamma 90.00
loop_
_atom_site_label
_atom_site_fract_x
_atom_site_fract_y
_atom_site_fract_z
_atom_site_occupancy
Ca1 0.000 0.000 0.000 1
Mn1 0.500 0.500 0.500 1
Be1 0.500 0.500 0.000 1
C1 0.000 0.500 0.500 1
```

Results
**Energy of formation from the pure elements**: 0.600 eV/atom
**M_tot**: 0.00 Bohr magnetons per cell